TmGe3Te6 | GGA-PBE | optimized geometry

a b c (Å): 12.4257 4.1043 13.3118
angles (deg): 90.00 112.24 90.00
Closest atoms and distances in Å follow each position.
Atoms (fractional coordinates):
Tm  0.0462  0.2500  0.2103  8 Te 3.10-3.36
Tm  0.9538  0.7500  0.7897  8 Te 3.10-3.36
Ge  0.2000  0.2500  0.6997  4 Te 2.64-2.73
Ge  0.2976  0.7500  0.0966  3 Te 2.70-2.81
Ge  0.5001  0.2500  0.3571  3 Te 2.72-2.83
Ge  0.4999  0.7500  0.6429  3 Te 2.72-2.83
Ge  0.7024  0.2500  0.9034  3 Te 2.70-2.81
Ge  0.8000  0.7500  0.3003  4 Te 2.64-2.73
Te  0.0295  0.7500  0.3792  1 Ge 2.64
Te  0.0959  0.2500  0.9795  2 Ge 3.16, 3 Tm 3.21-3.36, 2 Te 3.34
Te  0.2310  0.7500  0.8409  2 Ge 2.71
Te  0.2483  0.7500  0.2778  1 Ge 2.70
Te  0.3311  0.2500  0.5753  3 Ge 2.73-2.83
Te  0.4640  0.2500  0.1421  3 Ge 2.72-2.81
Te  0.5360  0.7500  0.8579  3 Ge 2.72-2.81
Te  0.6689  0.7500  0.4247  3 Ge 2.73-2.83
Te  0.7517  0.2500  0.7222  1 Ge 2.70
Te  0.7690  0.2500  0.1591  2 Ge 2.71
Te  0.9041  0.7500  0.0205  2 Ge 3.16, 3 Tm 3.21-3.36, 2 Te 3.34
Te  0.9705  0.2500  0.6208  1 Ge 2.64

**Uncorrected formation energy**: -336 meV/atom
**Magnetization**: 0.00 μB/cell
**Crystal system**: monoclinic
**SG**: P2_1/m (11)
**V**: 31.42 Å³/atom


Tm4Ge2Te | GGA-PBE | optimized geometry

a b c (Å): 8.5723 8.5723 8.5723
angles (deg): 60.00 60.00 60.00
Closest atoms and distances in Å follow each position.
Atoms (fractional coordinates):
Tm  0.1912  0.7696  0.7696  3 Ge 2.81, 1 Te 3.04
Tm  0.2304  0.2304  0.2304  3 Ge 2.81, 1 Te 3.04
Tm  0.2304  0.2304  0.8088  3 Ge 2.81, 1 Te 3.04
Tm  0.2304  0.8088  0.2304  3 Ge 2.81, 1 Te 3.04
Tm  0.7696  0.1912  0.7696  3 Ge 2.81, 1 Te 3.04
Tm  0.7696  0.7696  0.1912  3 Ge 2.81, 1 Te 3.04
Tm  0.7696  0.7696  0.7696  3 Ge 2.81, 1 Te 3.04
Tm  0.8088  0.2304  0.2304  3 Ge 2.81, 1 Te 3.04
Ge  0.0000  0.0000  0.0000  6 Tm 2.81
Ge  0.0000  0.0000  0.5000  6 Tm 2.81
Ge  0.0000  0.5000  0.0000  6 Tm 2.81
Ge  0.5000  0.0000  0.0000  6 Tm 2.81
Te  0.3750  0.3750  0.3750  4 Tm 3.04
Te  0.6250  0.6250  0.6250  4 Tm 3.04

**Uncorrected formation energy**: -705 meV/atom
**Magnetization**: 0.00 μB/cell
**Crystal system**: cubic
**SG**: Fd-3m (227)
**V**: 31.82 Å³/atom


Tm5Ge2Te2 | GGA-PBE | optimized geometry

a b c (Å): 8.4382 8.4382 7.7970
angles (deg): 90.00 90.00 54.65
Closest atoms and distances in Å follow each position.
Atoms (fractional coordinates):
Tm  0.0000  0.0000  0.0000  4 Ge 2.97-3.01, 2 Te 3.07
Tm  0.0351  0.7154  0.6615  3 Ge 2.86-3.01, 3 Te 3.11-3.16
Tm  0.2154  0.5351  0.1615  3 Ge 2.86-3.01, 3 Te 3.11-3.16
Tm  0.2846  0.9649  0.6615  3 Ge 2.86-3.01, 3 Te 3.11-3.16
Tm  0.4649  0.7846  0.1615  3 Ge 2.86-3.01, 3 Te 3.11-3.16
Tm  0.5000  0.5000  0.5000  4 Ge 2.97-3.01, 2 Te 3.07
Tm  0.5351  0.2154  0.8385  3 Ge 2.86-3.01, 3 Te 3.11-3.16
Tm  0.7154  0.0351  0.3385  3 Ge 2.86-3.01, 3 Te 3.11-3.16
Tm  0.7846  0.4649  0.8385  3 Ge 2.86-3.01, 3 Te 3.11-3.16
Tm  0.9649  0.2846  0.3385  3 Ge 2.86-3.01, 3 Te 3.11-3.16
Ge  0.1434  0.8566  0.3592  8 Tm 2.86-3.01, 1 Ge 3.12
Ge  0.3566  0.6434  0.8592  8 Tm 2.86-3.01, 1 Ge 3.12
Ge  0.6434  0.3566  0.1408  8 Tm 2.86-3.01, 1 Ge 3.12
Ge  0.8566  0.1434  0.6408  8 Tm 2.86-3.01, 1 Ge 3.12
Te  0.2046  0.2046  0.0000  7 Tm 3.07-3.16
Te  0.2954  0.2954  0.5000  7 Tm 3.07-3.16
Te  0.7046  0.7046  0.5000  7 Tm 3.07-3.16
Te  0.7954  0.7954  0.0000  7 Tm 3.07-3.16

**Uncorrected formation energy**: -995 meV/atom
**Magnetization**: 0.00 μB/cell
**Crystal system**: orthorhombic
**SG**: Cmce (64)
**V**: 25.16 Å³/atom


Question: Which value of uncorrected formation energy does entry 2 give?
Answer: -705 meV/atom